The following is a PBE calculation of MgFe2Br after structural relaxation, from the Alexandria database.

For the volume, the calculation gives 22.49 Å³/atom. The density of states at the Fermi level comes out at 3.3 states/eV/cell. As for the symmetry: C2/m (12). The value obtained for the size of the total moment is 5.41 μB/f.u. Its excess energy over the best structure of this formula in the dataset is 236.6 meV/atom. The total energy comes out at -4.70 eV per atom.

Cell lengths 5.0295, 5.0295, 6.0901 Å; angles 105.75, 105.75, 37.56 degrees
Last column: magnetic moment on the atom in μB.
Sites, in units of the cell vectors:
Fe  0.0513  0.0513  0.8846  2.68
Fe  0.4487  0.4487  0.6154  2.68
Br  0.2500  0.2500  0.2500  0.04
Mg  0.7500  0.7500  0.7500  -0.04